(1)
BaCdCl | PBEsol | relaxed

- E_form (uncorrected): -0.941 eV per atom
- Magnetic moment: 0.7 μB/f.u.
- Symmetry: F-43m (216)
- Raw total energy: -2.73 eV/atom

Cell and atoms, written as POSCAR:
```
BaCdCl
1.0
5.2413 0.0000 0.0000
2.6206 4.5391 0.0000
2.6206 1.5130 4.2795
Cl Ba Cd
1 1 1
direct
0.7500 0.7500 0.7500
0.0000 0.0000 0.0000
0.5000 0.5000 0.5000
```

***

(2)
BaCdCl2 | PBEsol | relaxed

- E_form (uncorrected): -1.551 eV per atom
- Magnetic moment: 0.0 μB/f.u.
- Symmetry: C2/m (12)
- Raw total energy: -3.39 eV/atom

Cell and atoms, written as POSCAR:
```
BaCdCl2
1.0
-0.5586 0.8326 4.6690
4.2081 -1.5331 -1.6653
-0.2814 8.2350 -1.5021
Cl Ba Cd
2 1 1
direct
0.2780 0.5560 0.3326
0.7220 0.4440 0.6674
0.0000 0.0000 0.5000
0.5000 0.0000 0.0000
```

***

(3)
BaCdCo2 | PBEsol | relaxed

- Formation enthalpy at 0 K: 562 meV per atom
- Magnetic moment: 3.0 μB/f.u.
- Symmetry: P4/mmm (123)
- Raw total energy: -4.14 eV/atom

Cell and atoms, written as POSCAR:
```
BaCdCo2
1.0
3.4803 0.0000 0.0000
0.0000 3.4803 0.0000
0.0000 0.0000 6.8396
Cd Co Ba
1 2 1
direct
0.5000 0.5000 0.5000
0.0000 0.0000 0.3403
0.0000 0.0000 0.6597
0.5000 0.5000 0.0000
```

***

(4)
BaCd2Co | PBEsol | relaxed

- Formation enthalpy at 0 K: 250 meV per atom
- Magnetic moment: 0.8 μB/f.u.
- Symmetry: P4mm (99)
- Raw total energy: -2.82 eV/atom

Cell and atoms, written as POSCAR:
```
BaCd2Co
1.0
-2.7690 2.0022 -0.8642
-0.3275 -1.7627 -3.0346
-4.6125 -4.9284 3.3606
Cd Ba Co
2 1 1
direct
0.5000 0.5000 0.2933
0.0000 0.0000 0.0661
0.5000 0.5000 0.7197
0.0000 0.0000 0.4209
```